LaSmAgPb | PBE | relaxed

POSCAR file:
```
LaSmAgPb
1.0
5.472 0.000 0.000
2.736 4.739 0.000
2.736 1.580 4.468
Sm Pb Ag La
1 1 1 1
Direct
0.000 0.000 0.000 Sm
0.750 0.750 0.750 Pb
0.250 0.250 0.250 Ag
0.500 0.500 0.500 La
```

Properties
The calculation puts the density of states at the Fermi level at 3.3 states/eV per cell. As for the formation energy from the elements: -0.431 eV/atom. As for the density: 8.66 Mg/m³. As for the volume: 29.0 Å³ per atom.